(1)
Below is an optimized crystal structure of LiYFeBi, with properties calculated at the GGA-PBE level.

Results
The energy is -5.299 eV/atom.

a = 6.6727 Å, b = 6.6727 Å, c = 6.6727 Å
α = 90.00°, β = 90.00°, γ = 90.00°
With the nearest neighbours (Å) after each atom.
Space group F-43m (No. 216)
Asymmetric unit:
Li1 0.0000 0.0000 0.0000 [4 per cell]  4 Y 2.89, 4 Bi 2.89
Y1 0.2500 0.2500 0.7500 [4 per cell]  4 Fe 2.89, 4 Li 2.89
Fe1 0.0000 0.0000 0.5000 [4 per cell]  4 Bi 2.89, 4 Y 2.89
Bi1 0.2500 0.2500 0.2500 [4 per cell]  4 Li 2.89, 4 Fe 2.89

***

(2)
Below is an optimized crystal structure of SmCoNiGe2, with properties calculated at the GGA-PBE level.

Results
The energy is -5.970 eV/atom.

a = 4.0722 Å, b = 4.0722 Å, c = 10.0337 Å
α = 90.00°, β = 90.00°, γ = 90.00°
With the nearest neighbours (Å) after each atom.
Space group I-4m2 (No. 119)
Asymmetric unit:
Sm1 0.0000 0.0000 0.0000 [2 per cell]  8 Ge 3.16, 4 Co 3.23, 4 Ni 3.23
Co1 0.0000 0.5000 0.2500 [2 per cell]  4 Ge 2.37
Ni1 0.0000 0.5000 0.7500 [2 per cell]  4 Ge 2.37
Ge1 0.0000 0.0000 0.3705 [4 per cell]  2 Co 2.37, 2 Ni 2.37, 1 Ge 2.60

***

(3)
Below is an optimized crystal structure of Zr3Zn2InNiIr2, with properties calculated at the GGA-PBE level.

Results
The energy is -6.612 eV/atom.

a = 3.4204 Å, b = 12.6738 Å, c = 7.2962 Å
α = 90.00°, β = 90.00°, γ = 90.00°
With the nearest neighbours (Å) after each atom.
Space group Amm2 (No. 38)
Asymmetric unit:
Zr1 0.0000 0.0000 0.0000 [2 per cell]  1 Ni 2.70, 4 Ir 2.83
Zr2 0.0000 0.2087 0.5925 [4 per cell]  4 Ir 2.73-2.84, 2 Zn 2.96
Zn1 0.5000 0.1284 0.2655 [4 per cell]  2 Ni 2.48, 2 Ir 2.75
In1 0.5000 0.0000 0.6379 [2 per cell]  2 Ni 2.59, 2 Ir 2.83
Ni1 0.0000 0.0000 0.3705 [2 per cell]  4 Zn 2.48, 2 In 2.59, 1 Zr 2.70
Ir1 0.5000 0.1676 0.8945 [4 per cell]  6 Zr 2.73-2.84, 2 Zn 2.75, 1 In 2.83

***

(4)
Below is an optimized crystal structure of Tm5Tl4Au, with properties calculated at the GGA-PBE level.

Results
The energy is -3.922 eV/atom.

a = 3.5671 Å, b = 3.5671 Å, c = 20.0147 Å
α = 90.00°, β = 90.00°, γ = 90.00°
With the nearest neighbours (Å) after each atom.
Space group P4/mmm (No. 123)
Asymmetric unit:
Tm1 0.0000 0.0000 0.0000 [1 per cell]  8 Tl 3.26, 4 Tm 3.57
Tm2 0.0000 0.0000 0.2069 [2 per cell]  8 Tl 3.25-3.26, 4 Tm 3.57
Tm3 0.0000 0.0000 0.4140 [2 per cell]  4 Au 3.05, 4 Tl 3.28
Tl1 0.5000 0.5000 0.1034 [2 per cell]  8 Tm 3.26, 4 Tl 3.57
Tl2 0.5000 0.5000 0.3093 [2 per cell]  8 Tm 3.25-3.28, 4 Tl 3.57
Au1 0.5000 0.5000 0.5000 [1 per cell]  8 Tm 3.05

***

(5)
Below is an optimized crystal structure of ErNb, with properties calculated at the GGA-PBE level.

Results
For the formation energy, the calculation gives 0.414 eV/atom.

a = 3.1908 Å, b = 3.1908 Å, c = 5.2323 Å
α = 90.00°, β = 90.00°, γ = 120.00°
With the nearest neighbours (Å) after each atom.
Space group P-6m2 (No. 187)
Asymmetric unit:
Er1 0.0000 0.0000 0.0000 [1 per cell]  6 Er 3.19, 6 Nb 3.20
Nb1 0.6667 0.3333 0.5000 [1 per cell]  6 Nb 3.19, 6 Er 3.20

***

(6)
Below is an optimized crystal structure of Ni2HgBi, with properties calculated at the GGA-PBE level.

Results
The energy is -3.396 eV/atom.

a = 6.6163 Å, b = 6.6163 Å, c = 6.6163 Å
α = 90.00°, β = 90.00°, γ = 90.00°
With the nearest neighbours (Å) after each atom.
Space group F-43m (No. 216)
Asymmetric unit:
Ni1 0.0000 0.0000 0.0000 [4 per cell]  4 Ni 2.86, 4 Hg 2.86
Ni2 0.2500 0.2500 0.2500 [4 per cell]  4 Bi 2.86, 4 Ni 2.86
Hg1 0.2500 0.2500 0.7500 [4 per cell]  4 Bi 2.86, 4 Ni 2.86
Bi1 0.0000 0.0000 0.5000 [4 per cell]  4 Hg 2.86, 4 Ni 2.86

***

(7)
Below is an optimized crystal structure of ReAgIr2, with properties calculated at the GGA-PBE level.

Results
For the formation energy, the calculation gives 0.702 eV/atom.

a = 6.2643 Å, b = 6.2643 Å, c = 6.2643 Å
α = 90.00°, β = 90.00°, γ = 90.00°
With the nearest neighbours (Å) after each atom.
Space group F-43m (No. 216)
Asymmetric unit:
Re1 0.0000 0.0000 0.0000 [4 per cell]  4 Ir 2.71, 4 Ag 2.71
Ag1 0.2500 0.2500 0.2500 [4 per cell]  4 Re 2.71, 4 Ir 2.71
Ir1 0.0000 0.0000 0.5000 [4 per cell]  4 Ir 2.71, 4 Ag 2.71
Ir2 0.2500 0.2500 0.7500 [4 per cell]  4 Re 2.71, 4 Ir 2.71

***

(8)
Below is an optimized crystal structure of LiScNiAs, with properties calculated at the GGA-PBE level.

Results
The energy is -5.176 eV/atom.

a = 6.2297 Å, b = 6.2297 Å, c = 6.2297 Å
α = 90.00°, β = 90.00°, γ = 90.00°
With the nearest neighbours (Å) after each atom.
Space group F-43m (No. 216)
Asymmetric unit:
Li1 0.0000 0.0000 0.0000 [4 per cell]  4 As 2.70, 4 Ni 2.70
Sc1 0.0000 0.0000 0.5000 [4 per cell]  4 As 2.70, 4 Ni 2.70
Ni1 0.2500 0.2500 0.7500 [4 per cell]  4 Li 2.70, 4 Sc 2.70
As1 0.2500 0.2500 0.2500 [4 per cell]  4 Li 2.70, 4 Sc 2.70